A geometry-optimized SrNdCo2Se2O2 structure. Source: the Open Quantum Materials Database, functional PBE with a Hubbard U.

Properties
V in Å³/atom: 19.45
Total moment in μB per cell: 4.995
Symmetry: P3m1
Raw total energy in eV per atom: -5.8023
Density in g/cm³: 5.8

a b c (Å): 4.010 4.010 11.175
angles (deg): 90.00 90.00 120.00
Site moments in Bohr magnetons follow the coordinates.
Atoms (fractional coordinates):
Nd (0.000, 0.000, 0.720)  -0.01
Se (0.000, 0.000, 0.435)  0.08
Sr (0.333, 0.667, 0.223)  0.01
Co (0.667, 0.333, 0.994)  2.32
O (0.667, 0.333, 0.161)  0.11
Se (0.333, 0.667, 0.910)  0.06
O (0.667, 0.333, 0.681)  0.02
Co (0.667, 0.333, 0.500)  2.26